1.
The following is a PBE calculation of a geometry-optimized NdYCu2SiSn structure, from the Open Quantum Materials Database.

Cell lengths 4.3538, 4.3538, 7.7332 Å; angles 90.00, 90.00, 120.00 degrees
Atoms (fractional coordinates):
1 Y 0.3333 0.6667 0.4879
2 Nd 0.3333 0.6667 0.0120
3 Sn 0.6667 0.3333 0.7411
4 Cu 0.0000 0.0000 0.7370
5 Si 0.0000 0.0000 0.2591
6 Cu 0.6667 0.3333 0.2629

## Properties
E   -31.6 eV per cell
Space group   P3m1

***

2.
The following is a PBE calculation of a geometry-optimized ScFeNiSn structure, from the Open Quantum Materials Database.

Cell lengths 4.4546, 4.4546, 4.4546 Å; angles 60.00, 60.00, 60.00 degrees
Each line ends with the local moment (μB).
Atoms (fractional coordinates):
1 Sn 0.0000 0.0000 0.0000  -0.07
2 Sc 0.2500 0.2500 0.2500  -0.05
3 Fe 0.7500 0.7500 0.7500  2.31
4 Ni 0.5000 0.5000 0.5000  0.18

## Properties
ΔE to the lowest computed polymorph   0.2523 eV/atom
Space group   F-43m

***

3.
The following is a PBE calculation of a geometry-optimized GdYFe2Si2 structure, from the Open Quantum Materials Database.

Cell lengths 4.0346, 4.0346, 6.5250 Å; angles 90.00, 90.00, 90.00 degrees
Atoms (fractional coordinates):
1 Gd 0.0000 0.0000 0.3167
2 Fe 0.0000 0.5000 0.0000
3 Fe 0.5000 0.0000 0.0000
4 Y 0.5000 0.5000 0.6837
5 Si 0.5000 0.5000 0.1790
6 Si 0.0000 0.0000 0.8208

## Properties
E   -42.4 eV per cell
Space group   P4mm

***

4.
The following is a PBE calculation of a geometry-optimized Ba3Ag2Sb4 structure, from the Open Quantum Materials Database.

Cell lengths 9.3475, 9.3475, 7.7022 Å; angles 110.68, 110.68, 30.12 degrees
Atoms (fractional coordinates):
1 Sb 0.5077 0.5077 0.6878
2 Ag 0.3345 0.3345 0.0296
3 Ba 0.8547 0.8547 0.3934
4 Sb 0.7945 0.7945 0.8291
5 Sb 0.2055 0.2055 0.1709
6 Ba 0.1453 0.1453 0.6066
7 Sb 0.4923 0.4923 0.3122
8 Ag 0.6655 0.6655 0.9704
9 Ba 0.0000 0.0000 0.0000

## Properties
E   -33.9 eV per cell
Space group   C2/m

***

5.
The following is a PBE calculation of a geometry-optimized Zr8C3S2N3 structure, from the Open Quantum Materials Database.

Cell lengths 3.3544, 3.3544, 22.9064 Å; angles 90.00, 90.00, 120.00 degrees
Atoms (fractional coordinates):
1 Zr 0.3333 0.6667 0.4409
2 N 0.0000 0.0000 0.5000
3 S 0.3333 0.6667 0.2531
4 Zr 0.0000 0.0000 0.8286
5 N 0.3333 0.6667 0.6127
6 C 0.0000 0.0000 0.0000
7 Zr 0.6667 0.3333 0.5591
8 Zr 0.0000 0.0000 0.6673
9 Zr 0.3333 0.6667 0.0573
10 Zr 0.6667 0.3333 0.9427
11 Zr 0.0000 0.0000 0.3327
12 S 0.6667 0.3333 0.7469
13 C 0.3333 0.6667 0.8801
14 Zr 0.0000 0.0000 0.1714
15 C 0.6667 0.3333 0.1199
16 N 0.6667 0.3333 0.3873

## Properties
E   -150.9 eV per cell
Space group   P-3m1

***

6.
The following is a PBE calculation of a geometry-optimized Al2Mo2Os3 structure, from the Open Quantum Materials Database.

Cell lengths 7.3964, 7.3964, 7.3964 Å; angles 33.73, 33.73, 33.73 degrees
Atoms (fractional coordinates):
1 Os 0.3755 0.3755 0.3755
2 Os 0.8768 0.8768 0.8768
3 Mo 0.0045 0.0045 0.0045
4 Al 0.2415 0.2415 0.2415
5 Mo 0.4952 0.4952 0.4952
6 Al 0.7554 0.7554 0.7554
7 Os 0.6261 0.6261 0.6261

## Properties
E   -63.6 eV per cell
Space group   R3m